Record 1
RbAgHg2Au after structural relaxation. Source: Alexandria via LeMat-Bulk, functional GGA-PBE.

Computed properties:
Excess energy over the best structure of this formula in the dataset   18 meV/atom

Cell lengths 5.5078, 5.5078, 5.4676 Å; angles 90.00, 90.00, 90.00 degrees
Fractional positions:
Rb: 0.5000 0.5000 0.5000
Au: 0.0000 0.0000 0.5000
Hg: 0.0000 0.5000 0.0000
Hg: 0.5000 0.0000 0.0000
Ag: 0.0000 0.0000 0.0000

---

Record 2
Rb2AgHg12Au3 after structural relaxation. Source: Alexandria via LeMat-Bulk, functional GGA-PBE.

Cell lengths 11.3137, 11.3137, 11.3137 Å; angles 39.91, 39.91, 39.91 degrees
Fractional positions:
Rb: 0.6492 0.6492 0.6492
Rb: 0.3508 0.3508 0.3508
Ag: 0.0000 0.0000 0.0000
Hg: 0.4114 0.4114 0.8164
Hg: 0.9241 0.9241 0.3585
Hg: 0.3585 0.9241 0.9241
Hg: 0.8164 0.4114 0.4114
Hg: 0.9241 0.3585 0.9241
Hg: 0.4114 0.8164 0.4114
Hg: 0.5886 0.5886 0.1836
Hg: 0.0759 0.0759 0.6415
Hg: 0.6415 0.0759 0.0759
Hg: 0.1836 0.5886 0.5886
Hg: 0.0759 0.6415 0.0759
Hg: 0.5886 0.1836 0.5886
Au: 0.5000 0.0000 0.0000
Au: 0.0000 0.5000 0.0000
Au: 0.0000 0.0000 0.5000

---

Record 3
Rb2AgHg4Au3 after structural relaxation. Source: Alexandria via LeMat-Bulk, functional GGA-PBE.

Cell lengths 4.9551, 4.9551, 11.6498 Å; angles 90.00, 90.00, 90.00 degrees
Fractional positions:
Rb: 0.5000 0.0000 0.2524
Rb: 0.0000 0.5000 0.7476
Ag: 0.5000 0.5000 0.5000
Hg: 0.5000 0.5000 0.0000
Hg: 0.0000 0.0000 0.0000
Hg: 0.5000 0.0000 0.6262
Hg: 0.0000 0.5000 0.3738
Au: 0.0000 0.0000 0.5000
Au: 0.5000 0.0000 0.8668
Au: 0.0000 0.5000 0.1332

---

Record 4
RbAgHg2Au after structural relaxation. Source: Alexandria via LeMat-Bulk, functional GGA-PBE.

Computed properties:
Excess energy over the best structure of this formula in the dataset   0 meV/atom

Cell lengths 5.4531, 5.4531, 5.4727 Å; angles 90.00, 90.00, 90.00 degrees
Fractional positions:
Rb: 0.5000 0.5000 0.5000
Au: 0.0000 0.0000 0.0000
Hg: 0.0000 0.5000 0.0000
Hg: 0.5000 0.0000 0.0000
Ag: 0.0000 0.0000 0.5000

---

Record 5
RbAg2HgAu after structural relaxation. Source: Alexandria via LeMat-Bulk, functional GGA-PBE.

Cell lengths 5.3831, 5.3831, 5.4244 Å; angles 90.00, 90.00, 90.00 degrees
Fractional positions:
Rb: 0.5000 0.5000 0.5000
Au: 0.0000 0.0000 0.0000
Hg: 0.0000 0.0000 0.5000
Ag: 0.0000 0.5000 0.0000
Ag: 0.5000 0.0000 0.0000

---

Record 6
ReAgHgAu2 after structural relaxation. Source: Alexandria via LeMat-Bulk, functional GGA-PBE.

Cell lengths 5.0007, 5.2773, 5.0007 Å; angles 90.00, 90.00, 90.00 degrees
Fractional positions:
Re: 0.0000 0.0000 0.0000
Au: 0.0000 0.0000 0.5000
Au: 0.5000 0.0000 0.0000
Hg: 0.5000 0.5000 0.5000
Ag: 0.0000 0.5000 0.0000

---

Record 7
AgHgRhAu after structural relaxation. Source: Alexandria via LeMat-Bulk, functional GGA-PBE.

Cell lengths 4.6424, 4.6424, 4.6424 Å; angles 60.00, 60.00, 60.00 degrees
Fractional positions:
Rh: 0.7500 0.7500 0.7500
Au: 0.0000 0.0000 0.0000
Hg: 0.5000 0.5000 0.5000
Ag: 0.2500 0.2500 0.2500

---

Record 8
Sc2AgHgAu after structural relaxation. Source: Alexandria via LeMat-Bulk, functional GGA-PBE.

Cell lengths 5.1486, 5.0561, 5.1486 Å; angles 90.00, 90.00, 90.00 degrees
Fractional positions:
Sc: 0.0000 0.0000 0.5000
Sc: 0.5000 0.0000 0.0000
Au: 0.5000 0.5000 0.5000
Hg: 0.0000 0.5000 0.0000
Ag: 0.0000 0.0000 0.0000

---

Number 1: spin magnetization 0.000 μB/atom, density of states at the Fermi level 0.2374 states/eV per atom, E_form -0.07 eV/atom. Number 2: spin magnetization 0.000 μB/atom, density of states at the Fermi level 0.1720 states/eV per atom, E_form -0.03 eV/atom. Number 3: spin magnetization 0.000 μB/atom, density of states at the Fermi level 0.3974 states/eV per atom, E_form -0.14 eV/atom. Number 4: spin magnetization 0.000 μB/atom, density of states at the Fermi level 0.2229 states/eV per atom, E_form -0.09 eV/atom. Number 5: spin magnetization 0.000 μB/atom, density of states at the Fermi level 0.2177 states/eV per atom, E_form 0.04 eV/atom. Number 6: spin magnetization 0.000 μB/atom, density of states at the Fermi level 0.9402 states/eV per atom, E_form 1.26 eV/atom. Number 7: spin magnetization 0.000 μB/atom, density of states at the Fermi level 0.4850 states/eV per atom, E_form 0.11 eV/atom. Number 8: spin magnetization 0.005 μB/atom, density of states at the Fermi level 1.4643 states/eV per atom, E_form 0.39 eV/atom.